Record 1
Na2Y | PBE | optimized geometry

a b c (Å): 3.6573 3.4947 9.5609
angles (deg): 79.99 79.20 58.45
Last column: nearest neighbours and their distance in Å.
Fractional positions:
Na (0.5318, 0.1990, 0.8801)  8 Na 3.49-3.80, 3 Y 3.64-3.76
Na (0.0306, 0.8495, 0.2260)  8 Na 3.49-3.80, 3 Y 3.65-3.75
Y (0.2821, 0.0279, 0.5528)  6 Y 3.49-3.66, 6 Na 3.64-3.76

Properties
space-group type	P1, No. 1
formation enthalpy at 0 K	16.5	kJ/mol of atoms

Record 2
NaY | PBE | optimized geometry

a b c (Å): 9.2003 9.2003 9.2003
angles (deg): 90.00 90.00 90.00
Last column: nearest neighbours and their distance in Å.
Fractional positions:
Y (0.5000, 0.7500, 0.0000)  4 Na 3.25
Na (0.5000, 0.0000, 0.2500)  4 Y 3.25
Na (0.0000, 0.2500, 0.5000)  4 Y 3.25
Na (0.0000, 0.7500, 0.5000)  4 Y 3.25
Y (0.2500, 0.0000, 0.5000)  4 Na 3.25
Y (0.5000, 0.2500, 0.0000)  4 Na 3.25
Y (0.7500, 0.0000, 0.5000)  4 Na 3.25
Na (0.7500, 0.5000, 0.0000)  4 Y 3.25
Na (0.5000, 0.0000, 0.7500)  4 Y 3.25
Y (0.0000, 0.5000, 0.7500)  4 Na 3.25
Na (0.2500, 0.5000, 0.0000)  4 Y 3.25
Y (0.0000, 0.5000, 0.2500)  4 Na 3.25

Properties
space-group type	Pm-3n, No. 223
formation enthalpy at 0 K	154.4	kJ/mol of atoms

Record 3
NaY | PBE | optimized geometry

a b c (Å): 12.7805 12.7805 3.2662
angles (deg): 90.00 90.00 90.00
Last column: nearest neighbours and their distance in Å.
Fractional positions:
Na (0.1401, 0.4150, 0.0000)  1 Y 3.25, 6 Na 3.27-3.38
Y (0.8419, 0.1165, 0.5000)  1 Na 3.25, 4 Y 3.27-3.55
Na (0.8599, 0.5850, 0.0000)  1 Y 3.25, 6 Na 3.27-3.38
Y (0.1581, 0.8835, 0.5000)  1 Na 3.25, 4 Y 3.27-3.55
Y (0.3419, 0.6165, 0.0000)  1 Na 3.25, 4 Y 3.27-3.55
Na (0.3599, 0.0850, 0.5000)  1 Y 3.25, 6 Na 3.27-3.38
Y (0.1165, 0.1581, 0.5000)  1 Na 3.25, 4 Y 3.27-3.55
Na (0.9150, 0.3599, 0.5000)  1 Y 3.25, 6 Na 3.27-3.38
Na (0.6401, 0.9150, 0.5000)  1 Y 3.25, 6 Na 3.27-3.38
Na (0.5850, 0.1401, 0.0000)  1 Y 3.25, 6 Na 3.27-3.38
Y (0.6581, 0.3835, 0.0000)  1 Na 3.25, 4 Y 3.27-3.55
Y (0.3835, 0.3419, 0.0000)  1 Na 3.25, 4 Y 3.27-3.55
Y (0.8835, 0.8419, 0.5000)  1 Na 3.25, 4 Y 3.27-3.55
Na (0.4150, 0.8599, 0.0000)  1 Y 3.25, 6 Na 3.27-3.38
Na (0.0850, 0.6401, 0.5000)  1 Y 3.25, 6 Na 3.27-3.38
Y (0.6165, 0.6581, 0.0000)  1 Na 3.25, 4 Y 3.27-3.55

Properties
space-group type	I4/m, No. 87
formation enthalpy at 0 K	45.0	kJ/mol of atoms

Record 4
NaY | PBE | optimized geometry

a b c (Å): 6.4623 6.4623 6.3834
angles (deg): 90.00 90.00 90.00
Last column: nearest neighbours and their distance in Å.
Fractional positions:
Y (0.6883, 0.3117, 0.5000)  6 Na 3.19-3.40, 1 Y 3.44
Y (0.8117, 0.8117, 0.0000)  6 Na 3.19-3.40, 1 Y 3.44
Y (0.1883, 0.1883, 0.0000)  6 Na 3.19-3.40, 1 Y 3.44
Na (0.6786, 0.3214, 0.0000)  6 Y 3.19-3.40, 1 Na 3.27
Na (0.8214, 0.8214, 0.5000)  6 Y 3.19-3.40, 1 Na 3.27
Na (0.3214, 0.6786, 0.0000)  6 Y 3.19-3.40, 1 Na 3.27
Y (0.3117, 0.6883, 0.5000)  6 Na 3.19-3.40, 1 Y 3.44
Na (0.1786, 0.1786, 0.5000)  6 Y 3.19-3.40, 1 Na 3.27

Properties
space-group type	P4_2/mnm, No. 136
formation enthalpy at 0 K	64.3	kJ/mol of atoms

Record 5
Na4Y | PBE | optimized geometry

a b c (Å): 6.5829 6.5829 6.5829
angles (deg): 90.00 90.00 90.00
Last column: nearest neighbours and their distance in Å.
Fractional positions:
Na (0.0000, 0.0000, 0.0000)  12 Na 4.65
Na (0.5000, 0.5000, 0.0000)  2 Y 3.29
Na (0.5000, 0.0000, 0.5000)  2 Y 3.29
Y (0.5000, 0.5000, 0.5000)  6 Na 3.29
Na (0.0000, 0.5000, 0.5000)  2 Y 3.29

Properties
space-group type	Pm-3m, No. 221
formation enthalpy at 0 K	76.7	kJ/mol of atoms

Record 6
NaY | PBE | optimized geometry

a b c (Å): 5.5519 5.5519 6.5092
angles (deg): 90.00 90.00 120.00
Last column: nearest neighbours and their distance in Å.
Fractional positions:
Y (0.6667, 0.3333, 0.2500)  5 Na 3.21-3.25
Na (0.3333, 0.6667, 0.2500)  5 Y 3.21-3.25
Na (0.6667, 0.3333, 0.7500)  5 Y 3.21-3.25
Y (0.3333, 0.6667, 0.7500)  5 Na 3.21-3.25

Properties
space-group type	P6_3/mmc, No. 194
formation enthalpy at 0 K	114.6	kJ/mol of atoms